# 1
# In3ReI PBE-GGA optimized geometry
# Formation energy without anion corrections   0.4265 eV per atom
# Excess energy over the best structure of this formula in the dataset   0 meV per atom
# DFT total energy   -4.02 eV per atom
data_In3ReI
_cell_length_a 5.3611
_cell_length_b 5.3611
_cell_length_c 5.3611
_cell_angle_alpha 90.00
_cell_angle_beta 90.00
_cell_angle_gamma 90.00
_space_group_name_H-M_alt 'P m -3 m'
_space_group_IT_number 221
_space_group_name_Hall '-P 4 2 3'
loop_
_atom_site_label
_atom_site_type_symbol
_atom_site_fract_x
_atom_site_fract_y
_atom_site_fract_z
In1 In 0.0000 0.0000 0.5000
Re1 Re 0.0000 0.0000 0.0000
I1 I 0.5000 0.5000 0.5000

# 2
# In2ReI PBE-GGA optimized geometry
# Formation energy without anion corrections   1.0392 eV per atom
# Excess energy over the best structure of this formula in the dataset   0 meV per atom
# DFT total energy   -3.83 eV per atom
data_In2ReI
_cell_length_a 5.7135
_cell_length_b 5.7135
_cell_length_c 17.2737
_cell_angle_alpha 90.00
_cell_angle_beta 90.00
_cell_angle_gamma 90.00
_space_group_name_H-M_alt 'I -4 2 d'
_space_group_IT_number 122
_space_group_name_Hall 'I -4 2bw'
loop_
_atom_site_label
_atom_site_type_symbol
_atom_site_fract_x
_atom_site_fract_y
_atom_site_fract_z
In1 In 0.1213 0.2500 0.1250
Re1 Re 0.0000 0.0000 0.0000
I1 I 0.0000 0.0000 0.5000

# 3
# InRe2I PBE-GGA optimized geometry
# Formation energy without anion corrections   1.3150 eV per atom
# Excess energy over the best structure of this formula in the dataset   0 meV per atom
# DFT total energy   -5.98 eV per atom
data_InRe2I
_cell_length_a 6.5964
_cell_length_b 6.5964
_cell_length_c 6.5964
_cell_angle_alpha 90.00
_cell_angle_beta 90.00
_cell_angle_gamma 90.00
_space_group_name_H-M_alt 'F m -3 m'
_space_group_IT_number 225
_space_group_name_Hall '-F 4 2 3'
loop_
_atom_site_label
_atom_site_type_symbol
_atom_site_fract_x
_atom_site_fract_y
_atom_site_fract_z
In1 In 0.0000 0.0000 0.0000
Re1 Re 0.2500 0.2500 0.2500
I1 I 0.0000 0.0000 0.5000

# 4
# InReI3 PBE-GGA optimized geometry
# Formation energy without anion corrections   1.0652 eV per atom
# Excess energy over the best structure of this formula in the dataset   615 meV per atom
# DFT total energy   -2.90 eV per atom
data_InReI3
_cell_length_a 5.9802
_cell_length_b 5.9802
_cell_length_c 5.9802
_cell_angle_alpha 90.00
_cell_angle_beta 90.00
_cell_angle_gamma 90.00
_space_group_name_H-M_alt 'P m -3 m'
_space_group_IT_number 221
_space_group_name_Hall '-P 4 2 3'
loop_
_atom_site_label
_atom_site_type_symbol
_atom_site_fract_x
_atom_site_fract_y
_atom_site_fract_z
In1 In 0.0000 0.0000 0.0000
Re1 Re 0.5000 0.5000 0.5000
I1 I 0.0000 0.0000 0.5000

# 5
# InReI3 PBE-GGA optimized geometry
# Formation energy without anion corrections   0.4501 eV per atom
# Excess energy over the best structure of this formula in the dataset   0 meV per atom
# DFT total energy   -3.52 eV per atom
data_InReI3
_cell_length_a 5.6100
_cell_length_b 5.6100
_cell_length_c 5.6100
_cell_angle_alpha 90.00
_cell_angle_beta 90.00
_cell_angle_gamma 90.00
_space_group_name_H-M_alt 'P m -3 m'
_space_group_IT_number 221
_space_group_name_Hall '-P 4 2 3'
loop_
_atom_site_label
_atom_site_type_symbol
_atom_site_fract_x
_atom_site_fract_y
_atom_site_fract_z
In1 In 0.0000 0.0000 0.0000
Re1 Re 0.5000 0.5000 0.5000
I1 I 0.0000 0.5000 0.5000

# 6
# In2ReI PBE-GGA optimized geometry
# Formation energy without anion corrections   1.2475 eV per atom
# Excess energy over the best structure of this formula in the dataset   208 meV per atom
# DFT total energy   -3.62 eV per atom
data_In2ReI
_cell_length_a 7.1697
_cell_length_b 7.1697
_cell_length_c 7.1697
_cell_angle_alpha 90.00
_cell_angle_beta 90.00
_cell_angle_gamma 90.00
_space_group_name_H-M_alt 'F m -3 m'
_space_group_IT_number 225
_space_group_name_Hall '-F 4 2 3'
loop_
_atom_site_label
_atom_site_type_symbol
_atom_site_fract_x
_atom_site_fract_y
_atom_site_fract_z
In1 In 0.2500 0.2500 0.2500
Re1 Re 0.0000 0.0000 0.0000
I1 I 0.0000 0.0000 0.5000

# 7
# InReSbI2 PBE-GGA optimized geometry
# Formation energy without anion corrections   0.5549 eV per atom
# Excess energy over the best structure of this formula in the dataset   0 meV per atom
# DFT total energy   -3.93 eV per atom
data_InReSbI2
_cell_length_a 5.7446
_cell_length_b 5.7446
_cell_length_c 5.1122
_cell_angle_alpha 90.00
_cell_angle_beta 90.00
_cell_angle_gamma 90.00
_space_group_name_H-M_alt 'P 4/m m m'
_space_group_IT_number 123
_space_group_name_Hall '-P 4 2'
loop_
_atom_site_label
_atom_site_type_symbol
_atom_site_fract_x
_atom_site_fract_y
_atom_site_fract_z
In1 In 0.0000 0.0000 0.0000
Re1 Re 0.5000 0.5000 0.5000
Sb1 Sb 0.5000 0.5000 0.0000
I1 I 0.0000 0.5000 0.5000

# 8
# InReSbI2 PBE-GGA optimized geometry
# Formation energy without anion corrections   1.4153 eV per atom
# Excess energy over the best structure of this formula in the dataset   860 meV per atom
# DFT total energy   -3.07 eV per atom
data_InReSbI2
_cell_length_a 5.8423
_cell_length_b 5.8423
_cell_length_c 5.8354
_cell_angle_alpha 90.00
_cell_angle_beta 90.00
_cell_angle_gamma 90.00
_space_group_name_H-M_alt 'P 4/m m m'
_space_group_IT_number 123
_space_group_name_Hall '-P 4 2'
loop_
_atom_site_label
_atom_site_type_symbol
_atom_site_fract_x
_atom_site_fract_y
_atom_site_fract_z
In1 In 0.0000 0.0000 0.0000
Re1 Re 0.5000 0.5000 0.5000
Sb1 Sb 0.0000 0.0000 0.5000
I1 I 0.0000 0.5000 0.0000

# 9
# SrIn2ReI PBE-GGA optimized geometry
# Formation energy without anion corrections   1.4673 eV per atom
# DFT total energy   -2.76 eV per atom
data_SrIn2ReI
_cell_length_a 6.4588
_cell_length_b 6.4588
_cell_length_c 6.0727
_cell_angle_alpha 90.00
_cell_angle_beta 90.00
_cell_angle_gamma 90.00
_space_group_name_H-M_alt 'P 4/m m m'
_space_group_IT_number 123
_space_group_name_Hall '-P 4 2'
loop_
_atom_site_label
_atom_site_type_symbol
_atom_site_fract_x
_atom_site_fract_y
_atom_site_fract_z
Sr1 Sr 0.0000 0.0000 0.0000
In1 In 0.0000 0.5000 0.0000
Re1 Re 0.5000 0.5000 0.5000
I1 I 0.0000 0.0000 0.5000

# 10
# InReTe2I PBE-GGA optimized geometry
# Formation energy without anion corrections   0.4399 eV per atom
# Excess energy over the best structure of this formula in the dataset   0 meV per atom
# DFT total energy   -4.16 eV per atom
data_InReTe2I
_cell_length_a 5.2012
_cell_length_b 5.2012
_cell_length_c 5.9452
_cell_angle_alpha 90.00
_cell_angle_beta 90.00
_cell_angle_gamma 90.00
_space_group_name_H-M_alt 'P 4/m m m'
_space_group_IT_number 123
_space_group_name_Hall '-P 4 2'
loop_
_atom_site_label
_atom_site_type_symbol
_atom_site_fract_x
_atom_site_fract_y
_atom_site_fract_z
In1 In 0.0000 0.0000 0.0000
Re1 Re 0.5000 0.5000 0.5000
Te1 Te 0.0000 0.5000 0.5000
I1 I 0.5000 0.5000 0.0000

# 11
# InReTe2I PBE-GGA optimized geometry
# Formation energy without anion corrections   1.4128 eV per atom
# Excess energy over the best structure of this formula in the dataset   973 meV per atom
# DFT total energy   -3.19 eV per atom
data_InReTe2I
_cell_length_a 5.6854
_cell_length_b 5.6854
_cell_length_c 5.8483
_cell_angle_alpha 90.00
_cell_angle_beta 90.00
_cell_angle_gamma 90.00
_space_group_name_H-M_alt 'P 4/m m m'
_space_group_IT_number 123
_space_group_name_Hall '-P 4 2'
loop_
_atom_site_label
_atom_site_type_symbol
_atom_site_fract_x
_atom_site_fract_y
_atom_site_fract_z
In1 In 0.0000 0.0000 0.0000
Re1 Re 0.5000 0.5000 0.5000
Te1 Te 0.0000 0.5000 0.0000
I1 I 0.0000 0.0000 0.5000

# 12
# In4RhI2 PBE-GGA optimized geometry
# Formation energy without anion corrections   -0.2935 eV per atom
# DFT total energy   -3.35 eV per atom
data_In4RhI2
_cell_length_a 5.1699
_cell_length_b 5.1699
_cell_length_c 17.8888
_cell_angle_alpha 90.00
_cell_angle_beta 90.00
_cell_angle_gamma 90.00
_space_group_name_H-M_alt 'I 4/m m m'
_space_group_IT_number 139
_space_group_name_Hall '-I 4 2'
loop_
_atom_site_label
_atom_site_type_symbol
_atom_site_fract_x
_atom_site_fract_y
_atom_site_fract_z
In1 In 0.0000 0.0000 0.1485
In2 In 0.0000 0.5000 0.0000
Rh1 Rh 0.0000 0.0000 0.0000
I1 I 0.0000 0.0000 0.3288

Q: The lowest DFT total energy belongs to which entry?
A: InRe2I

Please write out number 10 again, unchanged.
# InReTe2I PBE-GGA optimized geometry
# Formation energy without anion corrections   0.4399 eV per atom
# Excess energy over the best structure of this formula in the dataset   0 meV per atom
# DFT total energy   -4.16 eV per atom
data_InReTe2I
_cell_length_a 5.2012
_cell_length_b 5.2012
_cell_length_c 5.9452
_cell_angle_alpha 90.00
_cell_angle_beta 90.00
_cell_angle_gamma 90.00
_space_group_name_H-M_alt 'P 4/m m m'
_space_group_IT_number 123
_space_group_name_Hall '-P 4 2'
loop_
_atom_site_label
_atom_site_type_symbol
_atom_site_fract_x
_atom_site_fract_y
_atom_site_fract_z
In1 In 0.0000 0.0000 0.0000
Re1 Re 0.5000 0.5000 0.5000
Te1 Te 0.0000 0.5000 0.5000
I1 I 0.5000 0.5000 0.0000

Q: Look up the formation energy without anion corrections of the ninth one.
A: 1.4673 eV per atom

Q: What is the formation energy without anion corrections in the twelfth record?
A: -0.2935 eV per atom